An optimized crystal structure of Be2CuN, computed with PBE.

For the total energy, the calculation gives -21.603 eV per formula unit. As for the space group: No. 6. Its crystal system is monoclinic. As for the magnetic moment: 0.0000 μB/atom.

Lattice parameters (Å, degrees): 4.455 2.715 6.510 90.00 105.66 90.00
Fractional positions:
Be: 0.063 0.500 0.576
Be: 0.128 0.500 0.211
Be: 0.538 0.500 0.122
Be: 0.678 0.000 0.383
Cu: 0.189 0.000 0.847
Cu: 0.639 0.500 0.750
N: 0.857 0.500 0.333
N: 0.332 0.000 0.183